A plane-wave DFT calculation with GGA-PBE was carried out for a geometry-optimized ZrCoBiIr structure.

Lattice parameters (Å, degrees): 4.668 4.668 4.668 60.00 60.00 60.00
Each line ends with the local moment (μB).
Element x y z (fractional)
Zr1 0.500 0.500 0.500  -0.05
Bi1 0.000 0.000 0.000  0.00
Co1 0.750 0.750 0.750  1.31
Ir1 0.250 0.250 0.250  0.20

theoretical density = 12.73 g/cm³
raw total energy = -7.22 eV per atom
space group = F-43m (216)